Entry 1:
VASP calculation (PBE-GGA) on a relaxed ZnRe2W crystal.

Unit cell a=2.7602 b=4.4158 c=5.0151 alpha=90.00 beta=98.94 gamma=90.00
Closest atoms and distances in Å follow each position.
Positions (direct):
Zn 0.0000 0.0000 0.0000  5 Re 2.64-2.92, 2 Zn 2.76, 4 W 2.78-2.79
Re 0.5601 0.0000 0.4939  3 Zn 2.64-2.92, 6 Re 2.73-2.83, 2 W 2.74
Re 0.9671 0.5000 0.2995  2 W 2.65-2.68, 2 Zn 2.68, 6 Re 2.73-2.83
W 0.4476 0.5000 0.8005  4 Re 2.65-2.74, 2 W 2.76, 4 Zn 2.78-2.79

Summary:
- calculated density (g cm⁻³) = 17.095
- final energy (eV/atom) = -9.5649
- SG = No. 6
- calculated formation energy (kJ/mol of formula units) = 83.3



Entry 2:
VASP calculation (PBE-GGA) on a relaxed RbTlW2 crystal.

Unit cell a=8.6109 b=8.6109 c=5.4592 alpha=90.00 beta=90.00 gamma=90.00
Closest atoms and distances in Å follow each position.
Positions (direct):
Rb 0.0000 0.0000 0.0000  2 Tl 2.73
Rb 0.0000 0.5000 0.2500  2 Tl 2.73
Rb 0.5000 0.0000 0.7500  2 Tl 2.73
Rb 0.5000 0.5000 0.5000  2 Tl 2.73
Tl 0.0000 0.0000 0.5000  2 Rb 2.73, 4 W 2.87
Tl 0.0000 0.5000 0.7500  2 Rb 2.73, 4 W 2.87
Tl 0.5000 0.0000 0.2500  2 Rb 2.73, 4 W 2.87
Tl 0.5000 0.5000 0.0000  2 Rb 2.73, 4 W 2.87
W 0.2050 0.2500 0.6250  2 W 2.84, 2 Tl 2.87
W 0.2500 0.7050 0.8750  2 W 2.84, 2 Tl 2.87
W 0.2500 0.7950 0.3750  2 W 2.84, 2 Tl 2.87
W 0.2950 0.2500 0.1250  2 W 2.84, 2 Tl 2.87
W 0.7050 0.7500 0.1250  2 W 2.84, 2 Tl 2.87
W 0.7500 0.2050 0.3750  2 W 2.84, 2 Tl 2.87
W 0.7500 0.2950 0.8750  2 W 2.84, 2 Tl 2.87
W 0.7950 0.7500 0.6250  2 W 2.84, 2 Tl 2.87

Summary:
- calculated density (g cm⁻³) = 10.789
- final energy (eV/atom) = -4.9201
- SG = No. 122
- calculated formation energy (kJ/mol of formula units) = 922.4



Entry 3:
VASP calculation (PBE-GGA) on a relaxed Be2IrN crystal.

Unit cell a=5.5175 b=5.5175 c=4.9186 alpha=90.00 beta=90.00 gamma=90.00
Closest atoms and distances in Å follow each position.
Positions (direct):
Be 0.1362 0.2500 0.1250  2 N 1.69
Be 0.2500 0.6362 0.3750  2 N 1.69
Be 0.2500 0.8638 0.8750  2 N 1.69
Be 0.3638 0.2500 0.6250  2 N 1.69
Be 0.6362 0.7500 0.6250  2 N 1.69
Be 0.7500 0.1362 0.8750  2 N 1.69
Be 0.7500 0.3638 0.3750  2 N 1.69
Be 0.8638 0.7500 0.1250  2 N 1.69
Ir 0.0000 0.0000 0.5000  8 Be 2.42-2.51, 2 N 2.46
Ir 0.0000 0.5000 0.7500  8 Be 2.42-2.51, 2 N 2.46
Ir 0.5000 0.0000 0.2500  8 Be 2.42-2.51, 2 N 2.46
Ir 0.5000 0.5000 0.0000  8 Be 2.42-2.51, 2 N 2.46
N 0.0000 0.0000 0.0000  4 Be 1.69
N 0.0000 0.5000 0.2500  4 Be 1.69
N 0.5000 0.0000 0.7500  4 Be 1.69
N 0.5000 0.5000 0.5000  4 Be 1.69

Summary:
- calculated density (g cm⁻³) = 9.947
- final energy (eV/atom) = -6.2518
- SG = No. 122
- formation energy without anion corrections (eV/f.u.) = -0.4



Entry 4:
VASP calculation (PBE-GGA) on a relaxed Sc2TlSb crystal.

Unit cell a=3.4148 b=3.4148 c=31.6198 alpha=90.00 beta=90.00 gamma=120.00
Closest atoms and distances in Å follow each position.
Positions (direct):
Sc 0.0000 0.0000 0.0911  1 Sb 2.88, 3 Tl 3.10
Sc 0.0000 0.0000 0.9089  1 Sb 2.88, 3 Tl 3.10
Sc 0.3333 0.6667 0.5756  1 Sb 2.88, 3 Tl 3.10
Sc 0.3333 0.6667 0.7577  1 Sb 2.88, 3 Tl 3.10
Sc 0.6667 0.3333 0.2423  1 Sb 2.88, 3 Tl 3.10
Sc 0.6667 0.3333 0.4244  1 Sb 2.88, 3 Tl 3.10
Tl 0.0000 0.0000 0.5000  6 Sc 3.10, 6 Tl 3.41
Tl 0.3333 0.6667 0.1667  6 Sc 3.10, 6 Tl 3.41
Tl 0.6667 0.3333 0.8333  6 Sc 3.10, 6 Tl 3.41
Sb 0.0000 0.0000 0.0000  2 Sc 2.88
Sb 0.3333 0.6667 0.6667  2 Sc 2.88
Sb 0.6667 0.3333 0.3333  2 Sc 2.88

Summary:
- calculated density (g cm⁻³) = 6.491
- final energy (eV/atom) = -4.8116
- SG = No. 166
- formation energy without anion corrections (eV/f.u.) = -0.1



Entry 5:
VASP calculation (PBE-GGA) on a relaxed AcNbAl crystal.

Unit cell a=3.6845 b=3.6845 c=11.6422 alpha=90.00 beta=90.00 gamma=90.00
Closest atoms and distances in Å follow each position.
Positions (direct):
Ac 0.0000 0.0000 0.1948  5 Al 3.45-3.55, 4 Nb 3.53, 4 Ac 3.68
Ac 0.0000 0.0000 0.8052  5 Al 3.45-3.55, 4 Nb 3.53, 4 Ac 3.68
Nb 0.5000 0.5000 0.3990  1 Nb 2.35
Nb 0.5000 0.5000 0.6010  1 Nb 2.35
Al 0.0000 0.0000 0.5000  8 Nb 2.86
Al 0.5000 0.5000 0.0000  8 Ac 3.45, 4 Al 3.68

Summary:
- calculated density (g cm⁻³) = 7.289
- final energy (eV/atom) = -5.9065
- SG = No. 123
- calculated formation energy (kJ/mol of formula units) = 19.4



Entry 6:
VASP calculation (PBE-GGA) on a relaxed CeCdNi crystal.

Unit cell a=4.8423 b=4.6378 c=5.8946 alpha=90.00 beta=114.15 gamma=90.00
Closest atoms and distances in Å follow each position.
Positions (direct):
Ce 0.0996 0.2500 0.1996  2 Ni 2.67
Ce 0.9004 0.7500 0.8004  2 Ni 2.67
Cd 0.3964 0.2500 0.7909  4 Ni 2.73-2.97
Cd 0.6036 0.7500 0.2091  4 Ni 2.73-2.97
Ni 0.2205 0.7500 0.4448  2 Ce 2.67, 4 Cd 2.73-2.97
Ni 0.7795 0.2500 0.5552  2 Ce 2.67, 4 Cd 2.73-2.97

Summary:
- calculated density (g cm⁻³) = 8.556
- final energy (eV/atom) = -4.4367
- SG = No. 11
- calculated formation energy (kJ/mol of formula units) = -65.6



Entry 7:
VASP calculation (PBE-GGA) on a relaxed Bi3Rh2 crystal.

Unit cell a=6.9133 b=6.9133 c=7.4867 alpha=120.37 beta=120.37 gamma=56.19
Closest atoms and distances in Å follow each position.
Positions (direct):
Bi 0.0912 0.9088 0.7500  4 Rh 2.75-2.82
Bi 0.2455 0.3774 0.1968  4 Rh 2.69-2.83
Bi 0.3774 0.2455 0.6968  4 Rh 2.69-2.83
Bi 0.6226 0.7545 0.3032  4 Rh 2.69-2.83
Bi 0.7545 0.6226 0.8032  4 Rh 2.69-2.83
Bi 0.9088 0.0912 0.2500  4 Rh 2.75-2.82
Rh 0.2107 0.6602 0.0081  6 Bi 2.69-2.83, 1 Rh 3.01
Rh 0.3398 0.7893 0.4919  6 Bi 2.69-2.83, 1 Rh 3.01
Rh 0.6602 0.2107 0.5081  6 Bi 2.69-2.83, 1 Rh 3.01
Rh 0.7893 0.3398 0.9919  6 Bi 2.69-2.83, 1 Rh 3.01

Summary:
- calculated density (g cm⁻³) = 11.351
- final energy (eV/atom) = -5.4005
- SG = No. 15
- calculated formation energy (kJ/mol of formula units) = -63.4



Entry 8:
VASP calculation (PBE-GGA) on a relaxed Nd5SmIn4 crystal.

Unit cell a=3.6451 b=3.6451 c=22.7188 alpha=90.00 beta=90.00 gamma=90.00
Closest atoms and distances in Å follow each position.
Positions (direct):
Nd 0.0000 0.0000 0.0000  8 In 3.38, 4 Nd 3.65
Nd 0.0000 0.0000 0.1924  8 In 3.38, 4 Nd 3.65
Nd 0.0000 0.0000 0.3839  4 In 3.36, 4 Nd 3.65, 4 Sm 3.69
Nd 0.0000 0.0000 0.6161  4 In 3.36, 4 Nd 3.65, 4 Sm 3.69
Nd 0.0000 0.0000 0.8076  8 In 3.38, 4 Nd 3.65
Sm 0.5000 0.5000 0.5000  4 Sm 3.65, 8 Nd 3.69
In 0.5000 0.5000 0.0962  8 Nd 3.38, 4 In 3.65
In 0.5000 0.5000 0.2889  8 Nd 3.36-3.38, 4 In 3.65
In 0.5000 0.5000 0.7111  8 Nd 3.36-3.38, 4 In 3.65
In 0.5000 0.5000 0.9038  8 Nd 3.38, 4 In 3.65

Summary:
- calculated density (g cm⁻³) = 7.321
- final energy (eV/atom) = -4.3317
- SG = No. 123
- calculated formation energy (kJ/mol of formula units) = -367.1



Entry 9:
VASP calculation (PBE-GGA) on a relaxed ScMnCdBi2 crystal.

Unit cell a=5.5589 b=5.5589 c=5.5868 alpha=90.00 beta=90.00 gamma=90.00
Closest atoms and distances in Å follow each position.
Positions (direct):
Sc 0.0000 0.0000 0.0000  4 Bi 2.78, 2 Cd 2.79
Mn 0.5000 0.5000 0.5000  4 Cd 3.93, 8 Bi 3.94
Cd 0.0000 0.0000 0.5000  2 Sc 2.79
Bi 0.0000 0.5000 0.0000  2 Sc 2.78
Bi 0.5000 0.0000 0.0000  2 Sc 2.78

Summary:
- calculated density (g cm⁻³) = 6.062
- final energy (eV/atom) = -4.2123
- SG = No. 123
- calculated formation energy (kJ/mol of formula units) = 300.7



Entry 10:
VASP calculation (PBE-GGA) on a relaxed LiBeIrRh crystal.

Unit cell a=5.6867 b=5.6867 c=5.6867 alpha=90.00 beta=90.00 gamma=90.00
Closest atoms and distances in Å follow each position.
Positions (direct):
Li 0.0000 0.0000 0.0000  4 Ir 2.46, 4 Rh 2.46
Li 0.0000 0.5000 0.5000  4 Ir 2.46, 4 Rh 2.46
Li 0.5000 0.0000 0.5000  4 Ir 2.46, 4 Rh 2.46
Li 0.5000 0.5000 0.0000  4 Ir 2.46, 4 Rh 2.46
Be 0.0000 0.0000 0.5000  4 Ir 2.46, 4 Rh 2.46
Be 0.0000 0.5000 0.0000  4 Ir 2.46, 4 Rh 2.46
Be 0.5000 0.0000 0.0000  4 Ir 2.46, 4 Rh 2.46
Be 0.5000 0.5000 0.5000  4 Ir 2.46, 4 Rh 2.46
Ir 0.2500 0.2500 0.2500  4 Li 2.46, 4 Be 2.46
Ir 0.2500 0.7500 0.7500  4 Li 2.46, 4 Be 2.46
Ir 0.7500 0.2500 0.7500  4 Li 2.46, 4 Be 2.46
Ir 0.7500 0.7500 0.2500  4 Li 2.46, 4 Be 2.46
Rh 0.2500 0.2500 0.7500  4 Li 2.46, 4 Be 2.46
Rh 0.2500 0.7500 0.2500  4 Li 2.46, 4 Be 2.46
Rh 0.7500 0.2500 0.2500  4 Li 2.46, 4 Be 2.46
Rh 0.7500 0.7500 0.7500  4 Li 2.46, 4 Be 2.46

Summary:
- calculated density (g cm⁻³) = 11.236
- final energy (eV/atom) = -5.6848
- SG = No. 216
- calculated formation energy (kJ/mol of formula units) = -85.6



Entry 11:
VASP calculation (PBE-GGA) on a relaxed La2PuUN4 crystal.

Unit cell a=6.1376 b=3.5675 c=6.2702 alpha=90.00 beta=109.20 gamma=90.00
Closest atoms and distances in Å follow each position.
Positions (direct):
La 0.0000 0.0000 0.0000  6 N 2.75-2.79
La 0.5000 0.5000 0.0000  6 N 2.63-2.66
Pu 0.0000 0.5000 0.5000  6 N 2.43-2.46
U 0.5000 0.0000 0.5000  6 N 2.28-2.34
N 0.2536 0.0000 0.7035  1 U 2.28, 2 Pu 2.43
N 0.2818 0.5000 0.2982  2 U 2.34, 1 Pu 2.46
N 0.7182 0.5000 0.7018  2 U 2.34, 1 Pu 2.46
N 0.7464 0.0000 0.2965  1 U 2.28, 2 Pu 2.43

Summary:
- calculated density (g cm⁻³) = 10.449
- final energy (eV/atom) = -9.9558
- SG = No. 10
- formation energy without anion corrections (eV/f.u.) = -10.9



Entry 12:
VASP calculation (PBE-GGA) on a relaxed BPd3Au crystal.

Unit cell a=4.1987 b=4.1987 c=4.1987 alpha=90.00 beta=90.00 gamma=90.00
Closest atoms and distances in Å follow each position.
Positions (direct):
B 0.0000 0.0000 0.0000  6 Pd 2.10
Pd 0.0000 0.0000 0.5000  2 B 2.10
Pd 0.0000 0.5000 0.0000  2 B 2.10
Pd 0.5000 0.0000 0.0000  2 B 2.10
Au 0.5000 0.5000 0.5000  12 Pd 2.97

Summary:
- calculated density (g cm⁻³) = 11.824
- final energy (eV/atom) = -5.2365
- SG = No. 221
- calculated formation energy (kJ/mol of formula units) = -62.6